1.
Below is a relaxed ZrGa2BiP crystal, with properties calculated at the PBE level.

```
ZrGa2BiP
1.0
-3.349 -1.383 3.813
0.452 -5.381 -1.554
4.034 -0.620 3.318
Bi P Ga Zr
1 1 2 1
direct
0.000 0.500 0.000
0.500 0.500 0.500
0.500 0.000 0.000
0.000 0.000 0.500
0.000 0.000 0.000
```

Properties
space-group type	No. 123


2.
Below is a relaxed ZrGaBi2P crystal, with properties calculated at the PBE level.

```
ZrGaBi2P
1.0
5.334 0.000 0.000
0.000 5.172 0.000
0.000 0.000 5.334
Bi Zr Ga P
2 1 1 1
direct
0.500 0.000 0.000
0.000 0.000 0.500
0.000 0.500 0.000
0.000 0.000 0.000
0.500 0.500 0.500
```

Properties
space-group type	No. 123


3.
Below is a relaxed PaGaBi2 crystal, with properties calculated at the PBE level.

```
PaGaBi2
1.0
-1.954 -0.093 -3.960
-4.197 -1.248 2.100
-1.163 4.691 0.464
Bi Ga Pa
2 1 1
direct
0.000 0.500 0.000
0.000 0.000 0.500
0.500 0.000 0.000
0.500 0.500 0.500
```

Properties
space-group type	No. 123


Number 1: total DFT energy (no corrections) -3.911 eV/atom. Number 2: total DFT energy (no corrections) -4.082 eV/atom. Number 3: total DFT energy (no corrections) -5.228 eV/atom.